Density functional theory data (PBE) for a geometry-optimized NaUTe structure.

Cell and atoms, written as CIF:
```
data_NaUTe
_cell_length_a 7.315
_cell_length_b 7.315
_cell_length_c 7.315
_cell_angle_alpha 90.00
_cell_angle_beta 90.00
_cell_angle_gamma 90.00
_space_group_name_H-M_alt 'F -4 3 m'
_space_group_IT_number 216
_space_group_name_Hall 'F -4 2 3'
loop_
_atom_site_label
_atom_site_fract_x
_atom_site_fract_y
_atom_site_fract_z
Na1 0.000 0.000 0.000
U1 0.250 0.250 0.750
Te1 0.000 0.000 0.500
```

Properties
Final energy, eV per atom: -4.7600
Polymorph energy (0 for the lowest one), eV/atom: 0.236